1.
# LiHoPa2S4 PBE-GGA relaxed
data_LiHoPa2S4
_cell_length_a 6.4542
_cell_length_b 3.7510
_cell_length_c 7.0193
_cell_angle_alpha 90.00
_cell_angle_beta 107.99
_cell_angle_gamma 90.00
_space_group_name_H-M_alt 'P 1 2/m 1'
_space_group_IT_number 10
loop_
_space_group_symop_operation_xyz
'x,y,z'
'-x,-y,-z'
'-x,y,-z'
'x,-y,z'
loop_
_atom_site_label
_atom_site_fract_x
_atom_site_fract_y
_atom_site_fract_z
Li1 0.0000 0.0000 0.0000
Ho1 0.5000 0.5000 0.0000
Pa1 0.0000 0.5000 0.5000
Pa2 0.5000 0.0000 0.5000
S1 0.2381 0.5000 0.2343
S2 0.2457 0.0000 0.7632
# Total moment, μB/cell: 0.9
# Raw total energy, eV/atom: -6.89
# Theoretical density, g/cm3: 7.83
# Crystal system: monoclinic


2.
# Li3Ho2PaS6 PBE-GGA relaxed
data_Li3Ho2PaS6
_cell_length_a 6.7127
_cell_length_b 11.6275
_cell_length_c 6.5945
_cell_angle_alpha 90.00
_cell_angle_beta 109.84
_cell_angle_gamma 90.00
_space_group_name_H-M_alt 'C 1 2/m 1'
_space_group_IT_number 12
loop_
_space_group_symop_operation_xyz
'x,y,z'
'-x,-y,-z'
'-x,y,-z'
'x,-y,z'
'x+1/2,y+1/2,z'
'-x+1/2,-y+1/2,-z'
'-x+1/2,y+1/2,-z'
'x+1/2,-y+1/2,z'
loop_
_atom_site_label
_atom_site_fract_x
_atom_site_fract_y
_atom_site_fract_z
Li1 0.0000 0.0000 0.0000
Li2 0.0000 0.3319 0.0000
Ho1 0.0000 0.1666 0.5000
Pa1 0.0000 0.5000 0.5000
S1 0.2472 0.5000 0.2459
S2 0.2489 0.1660 0.2448
# Total moment, μB/cell: 2.9
# Raw total energy, eV/atom: -5.79
# Theoretical density, g/cm3: 5.31
# Crystal system: monoclinic


- The lowest total moment belongs to which entry?
  LiHoPa2S4


- Which value of total moment does entry 1 give?
  0.9 μB/cell